Entry from the Alexandria database: an optimized crystal structure of Tb2PuPbO8 (PBE).

Cell: 5.0815 5.0815 7.1535 Å, 90.00 90.00 92.00°
Sites, in units of the cell vectors:
1 Tb 0.0000 0.0000 0.2499
2 Tb 0.0000 0.0000 0.7501
3 Pu 0.5000 0.5000 0.0000
4 Pb 0.5000 0.5000 0.5000
5 O 0.1905 0.1905 0.5000
6 O 0.2126 0.2126 0.0000
7 O 0.3143 0.6857 0.2147
8 O 0.3143 0.6857 0.7853
9 O 0.6857 0.3143 0.2147
10 O 0.6857 0.3143 0.7853
11 O 0.7874 0.7874 0.0000
12 O 0.8095 0.8095 0.5000

Properties
Its magnetic moment is 1.5 μB/cell. The raw formation energy comes out at -2.5157 eV/atom. As for the crystal system: orthorhombic. As for the total energy: -8.0962 eV/atom.